[1]
# HgMo2As

A geometry-optimized HgMo2As structure (GGA-PBE, Alexandria).

Cell lengths 4.578, 3.013, 5.412 Å; angles 73.76, 90.00, 90.00 degrees
Atoms (fractional coordinates):
Mo (0.500, 0.434, 0.263)
Mo (0.000, 0.039, 0.045)
As (0.000, 0.337, 0.449)
Hg (0.500, 0.691, 0.743)

Summary:
- E_form: 36.4 kJ per mole of atoms
- Total energy: -25.11 eV per cell
- Magnetization: 0.00 μB/f.u.
- Energy above the lowest structure with this stoichiometry: 168 meV per atom

***

[2]
# HgMoAs

A geometry-optimized HgMoAs structure (GGA-PBE, Alexandria).

Cell lengths 5.704, 5.704, 5.704 Å; angles 146.63, 146.63, 47.91 degrees
Atoms (fractional coordinates):
Hg (0.330, 0.330, 0.000)
Mo (0.639, 0.639, 0.000)
As (0.031, 0.031, 0.000)

Summary:
- E_form: 23.3 kJ per mole of atoms
- Total energy: -15.06 eV per cell
- Magnetization: 0.00 μB/f.u.
- Energy above the lowest structure with this stoichiometry: 0 meV per atom

***

[3]
# HgMo2As

A geometry-optimized HgMo2As structure (GGA-PBE, Alexandria).

Cell lengths 9.270, 9.270, 9.270 Å; angles 19.14, 19.14, 19.14 degrees
Atoms (fractional coordinates):
Mo (0.988, 0.988, 0.988)
Mo (0.253, 0.253, 0.253)
Hg (0.746, 0.746, 0.746)
As (0.513, 0.513, 0.513)

Summary:
- E_form: 25.3 kJ per mole of atoms
- Total energy: -25.57 eV per cell
- Magnetization: 0.00 μB/f.u.
- Energy above the lowest structure with this stoichiometry: 53 meV per atom

***

[4]
# HgMo2As

A geometry-optimized HgMo2As structure (GGA-PBE, Alexandria).

Cell lengths 4.611, 4.611, 3.139 Å; angles 90.00, 90.00, 90.00 degrees
Atoms (fractional coordinates):
Mo (0.500, 0.500, 0.000)
Mo (0.000, 0.000, 0.000)
Hg (0.000, 0.500, 0.500)
As (0.500, 0.000, 0.500)

Summary:
- E_form: 49.3 kJ per mole of atoms
- Total energy: -24.57 eV per cell
- Magnetization: 0.00 μB/f.u.
- Energy above the lowest structure with this stoichiometry: 301 meV per atom

***

[5]
# HgMo4As

A geometry-optimized HgMo4As structure (GGA-PBE, Alexandria).

Cell lengths 5.325, 5.325, 5.325 Å; angles 60.00, 60.00, 60.00 degrees
Atoms (fractional coordinates):
Mo (0.881, 0.373, 0.373)
Mo (0.373, 0.881, 0.373)
Mo (0.373, 0.373, 0.881)
Mo (0.373, 0.373, 0.373)
As (0.750, 0.750, 0.750)
Hg (0.000, 0.000, 0.000)

Summary:
- E_form: 62.0 kJ per mole of atoms
- Total energy: -44.42 eV per cell
- Magnetization: 0.00 μB/f.u.

***

[6]
# HgMoAs4

A geometry-optimized HgMoAs4 structure (GGA-PBE, Alexandria).

Cell lengths 5.499, 5.499, 5.499 Å; angles 60.00, 60.00, 60.00 degrees
Atoms (fractional coordinates):
Mo (0.000, 0.000, 0.000)
As (0.374, 0.879, 0.374)
As (0.879, 0.374, 0.374)
As (0.374, 0.374, 0.374)
As (0.374, 0.374, 0.879)
Hg (0.750, 0.750, 0.750)

Summary:
- E_form: 74.2 kJ per mole of atoms
- Total energy: -25.12 eV per cell
- Magnetization: 0.00 μB/f.u.

***

[7]
# HgMo2As

A geometry-optimized HgMo2As structure (GGA-PBE, Alexandria).

Cell lengths 5.570, 5.570, 5.570 Å; angles 147.09, 132.22, 59.24 degrees
Atoms (fractional coordinates):
Mo (0.980, 0.980, 0.000)
Mo (0.731, 0.231, 0.500)
As (0.526, 0.526, 0.000)
Hg (0.263, 0.763, 0.500)

Summary:
- E_form: 43.6 kJ per mole of atoms
- Total energy: -24.81 eV per cell
- Magnetization: 0.00 μB/f.u.
- Energy above the lowest structure with this stoichiometry: 243 meV per atom

***

[8]
# Hg4MoAs

A geometry-optimized Hg4MoAs structure (GGA-PBE, Alexandria).

Cell lengths 5.783, 5.783, 5.783 Å; angles 60.00, 60.00, 60.00 degrees
Atoms (fractional coordinates):
As (0.000, 0.000, 0.000)
Hg (0.375, 0.375, 0.875)
Hg (0.375, 0.875, 0.375)
Hg (0.875, 0.375, 0.375)
Hg (0.375, 0.375, 0.375)
Mo (0.750, 0.750, 0.750)

Summary:
- E_form: 79.5 kJ per mole of atoms
- Total energy: -11.74 eV per cell
- Magnetization: 2.99 μB/f.u.

***

[9]
# HgMo3As

A geometry-optimized HgMo3As structure (GGA-PBE, Alexandria).

Cell lengths 5.119, 5.119, 5.119 Å; angles 90.00, 90.00, 90.00 degrees
Atoms (fractional coordinates):
As (0.500, 0.500, 0.500)
Hg (0.000, 0.000, 0.000)
Mo (0.000, 0.000, 0.500)
Mo (0.000, 0.500, 0.000)
Mo (0.500, 0.000, 0.000)

Summary:
- E_form: 246.1 kJ per mole of atoms
- Total energy: -24.69 eV per cell
- Magnetization: 9.01 μB/f.u.
- Energy above the lowest structure with this stoichiometry: 1431 meV per atom

***

[10]
# HgMo2As

A geometry-optimized HgMo2As structure (GGA-PBE, Alexandria).

Cell lengths 4.554, 4.554, 4.554 Å; angles 60.00, 60.00, 60.00 degrees
Atoms (fractional coordinates):
Hg (0.500, 0.500, 0.500)
Mo (0.750, 0.750, 0.750)
Mo (0.250, 0.250, 0.250)
As (0.000, 0.000, 0.000)

Summary:
- E_form: 49.5 kJ per mole of atoms
- Total energy: -24.56 eV per cell
- Magnetization: 0.00 μB/f.u.
- Energy above the lowest structure with this stoichiometry: 304 meV per atom

***

[11]
# HgMoAs

A geometry-optimized HgMoAs structure (GGA-PBE, Alexandria).

Cell lengths 4.396, 4.396, 4.396 Å; angles 60.00, 60.00, 60.00 degrees
Atoms (fractional coordinates):
Mo (0.500, 0.500, 0.500)
Hg (0.000, 0.000, 0.000)
As (0.750, 0.750, 0.750)

Summary:
- E_form: 71.1 kJ per mole of atoms
- Total energy: -13.57 eV per cell
- Magnetization: 0.26 μB/f.u.
- Energy above the lowest structure with this stoichiometry: 495 meV per atom

***

[12]
# HgMoAs

A geometry-optimized HgMoAs structure (GGA-PBE, Alexandria).

Cell lengths 4.486, 4.486, 4.486 Å; angles 60.00, 60.00, 60.00 degrees
Atoms (fractional coordinates):
Mo (0.750, 0.750, 0.750)
Hg (0.500, 0.500, 0.500)
As (0.000, 0.000, 0.000)

Summary:
- E_form: 60.2 kJ per mole of atoms
- Total energy: -13.91 eV per cell
- Magnetization: 1.28 μB/f.u.
- Energy above the lowest structure with this stoichiometry: 382 meV per atom

***

[13]
# HgMo2As

A geometry-optimized HgMo2As structure (GGA-PBE, Alexandria).

Cell lengths 5.455, 5.266, 2.916 Å; angles 79.51, 79.44, 117.86 degrees
Atoms (fractional coordinates):
As (0.000, 0.500, 0.500)
Hg (0.500, 0.500, 0.000)
Mo (0.500, 0.000, 0.500)
Mo (0.000, 0.000, 0.000)

Summary:
- E_form: 56.8 kJ per mole of atoms
- Total energy: -24.26 eV per cell
- Magnetization: 0.00 μB/f.u.
- Energy above the lowest structure with this stoichiometry: 380 meV per atom

***

[14]
# HgMo2As

A geometry-optimized HgMo2As structure (GGA-PBE, Alexandria).

Cell lengths 5.131, 5.131, 5.131 Å; angles 134.16, 134.16, 66.83 degrees
Atoms (fractional coordinates):
Mo (0.250, 0.750, 0.500)
Mo (0.000, 0.000, 0.000)
As (0.500, 0.500, 0.000)
Hg (0.750, 0.250, 0.500)

Summary:
- E_form: 57.8 kJ per mole of atoms
- Total energy: -24.22 eV per cell
- Magnetization: 0.00 μB/f.u.
- Energy above the lowest structure with this stoichiometry: 390 meV per atom

***

[15]
# HgMo2As

A geometry-optimized HgMo2As structure (GGA-PBE, Alexandria).

Cell lengths 2.923, 2.923, 8.771 Å; angles 90.00, 90.00, 111.90 degrees
Atoms (fractional coordinates):
Mo (0.000, 0.000, 0.471)
Mo (0.000, 0.000, 0.029)
Hg (0.500, 0.500, 0.750)
As (0.500, 0.500, 0.250)

Summary:
- E_form: 47.1 kJ per mole of atoms
- Total energy: -24.66 eV per cell
- Magnetization: 0.00 μB/f.u.
- Energy above the lowest structure with this stoichiometry: 279 meV per atom

***

[16]
# HgMo2As

A geometry-optimized HgMo2As structure (GGA-PBE, Alexandria).

Cell lengths 5.303, 5.303, 5.303 Å; angles 144.43, 126.38, 66.01 degrees
Atoms (fractional coordinates):
As (0.750, 0.250, 0.500)
Hg (0.250, 0.750, 0.500)
Mo (0.969, 0.969, 0.000)
Mo (0.531, 0.531, 0.000)

Summary:
- E_form: 42.1 kJ per mole of atoms
- Total energy: -24.87 eV per cell
- Magnetization: 0.00 μB/f.u.
- Energy above the lowest structure with this stoichiometry: 227 meV per atom

***

[17]
# HgMoAs

A geometry-optimized HgMoAs structure (GGA-PBE, Alexandria).

Cell lengths 3.149, 3.149, 6.856 Å; angles 90.00, 90.00, 120.00 degrees
Atoms (fractional coordinates):
As (0.000, 0.000, 0.951)
Mo (0.333, 0.667, 0.697)
Hg (0.667, 0.333, 0.351)

Summary:
- E_form: 24.1 kJ per mole of atoms
- Total energy: -15.03 eV per cell
- Magnetization: 0.00 μB/f.u.
- Energy above the lowest structure with this stoichiometry: 8 meV per atom

***

[18]
# HgMoAs3

A geometry-optimized HgMoAs3 structure (GGA-PBE, Alexandria).

Cell lengths 4.927, 4.927, 4.927 Å; angles 90.00, 90.00, 90.00 degrees
Atoms (fractional coordinates):
Hg (0.500, 0.500, 0.500)
As (0.000, 0.000, 0.500)
As (0.500, 0.000, 0.000)
As (0.000, 0.500, 0.000)
Mo (0.000, 0.000, 0.000)

Summary:
- E_form: 34.5 kJ per mole of atoms
- Total energy: -23.29 eV per cell
- Magnetization: 0.00 μB/f.u.
- Energy above the lowest structure with this stoichiometry: 0 meV per atom

***

[19]
# HgMo2As

A geometry-optimized HgMo2As structure (GGA-PBE, Alexandria).

Cell lengths 3.109, 3.109, 7.012 Å; angles 90.00, 90.00, 90.00 degrees
Atoms (fractional coordinates):
Hg (0.500, 0.500, 0.750)
Mo (0.000, 0.000, 0.048)
Mo (0.000, 0.000, 0.452)
As (0.500, 0.500, 0.250)

Summary:
- E_form: 27.0 kJ per mole of atoms
- Total energy: -25.49 eV per cell
- Magnetization: 0.00 μB/f.u.
- Energy above the lowest structure with this stoichiometry: 71 meV per atom

***

[20]
# HgMo2As

A geometry-optimized HgMo2As structure (GGA-PBE, Alexandria).

Cell lengths 3.952, 3.952, 10.136 Å; angles 78.76, 78.76, 90.00 degrees
Atoms (fractional coordinates):
Hg (0.750, 0.250, 0.500)
Hg (0.000, 0.000, 0.000)
Mo (0.186, 0.625, 0.250)
Mo (0.375, 0.436, 0.750)
Mo (0.564, 0.125, 0.250)
Mo (0.875, 0.814, 0.750)
As (0.500, 0.500, 0.000)
As (0.250, 0.750, 0.500)

Summary:
- E_form: 65.9 kJ per mole of atoms
- Total energy: -47.76 eV per cell
- Magnetization: 0.00 μB/f.u.
- Energy above the lowest structure with this stoichiometry: 474 meV per atom

***

[21]
# HgMo2As

A geometry-optimized HgMo2As structure (GGA-PBE, Alexandria).

Cell lengths 8.851, 8.851, 8.851 Å; angles 19.65, 19.65, 19.65 degrees
Atoms (fractional coordinates):
Hg (0.750, 0.750, 0.750)
Mo (0.509, 0.509, 0.509)
Mo (0.991, 0.991, 0.991)
As (0.250, 0.250, 0.250)

Summary:
- E_form: 33.7 kJ per mole of atoms
- Total energy: -25.21 eV per cell
- Magnetization: 0.00 μB/f.u.
- Energy above the lowest structure with this stoichiometry: 141 meV per atom

***

[22]
# HgMo2As

A geometry-optimized HgMo2As structure (GGA-PBE, Alexandria).

Cell lengths 4.639, 4.639, 4.639 Å; angles 60.00, 60.00, 60.00 degrees
Atoms (fractional coordinates):
Mo (0.250, 0.250, 0.250)
Mo (0.000, 0.000, 0.000)
As (0.500, 0.500, 0.500)
Hg (0.750, 0.750, 0.750)

Summary:
- E_form: 66.7 kJ per mole of atoms
- Total energy: -23.85 eV per cell
- Magnetization: 0.37 μB/f.u.
- Energy above the lowest structure with this stoichiometry: 482 meV per atom

***

[23]
# HgMo2As

A geometry-optimized HgMo2As structure (GGA-PBE, Alexandria).

Cell lengths 2.827, 2.827, 10.219 Å; angles 90.00, 90.00, 108.03 degrees
Atoms (fractional coordinates):
As (0.000, 0.000, 0.439)
Mo (0.000, 0.000, 0.034)
Mo (0.500, 0.500, 0.237)
Hg (0.500, 0.500, 0.789)

Summary:
- E_form: 29.1 kJ per mole of atoms
- Total energy: -25.41 eV per cell
- Magnetization: 0.00 μB/f.u.
- Energy above the lowest structure with this stoichiometry: 92 meV per atom